Entry 1:
# TbBiOs PBE-GGA relaxed
# Calculated volume in Å³/f.u.: 82.3
# DFT total energy in eV/atom: -6.74
# ρ in g/cm3: 11.27
# Magnetization in Bohr magnetons per cell: 0.000
data_TbBiOs
_chemical_formula_sum 'Tb6 Bi6 Os6'
_cell_length_a 4.2676
_cell_length_b 4.2676
_cell_length_c 31.2913
_cell_angle_alpha 90.00
_cell_angle_beta 90.00
_cell_angle_gamma 120.00
_space_group_name_H-M_alt 'R -3 m'
_space_group_IT_number 166
_space_group_name_Hall '-R 3 2"'
loop_
_atom_site_label
_atom_site_type_symbol
_atom_site_fract_x
_atom_site_fract_y
_atom_site_fract_z
_atom_site_occupancy
Tb1 Tb 0.0000 0.0000 0.0605 1
Bi1 Bi 0.0000 0.0000 0.1980 1
Os1 Os 0.0000 0.0000 0.3336 1

---

Entry 2:
# Ac4TlIr2 PBE-GGA relaxed
# Calculated volume in Å³/f.u.: 242.0
# DFT total energy in eV/atom: -5.77
# ρ in g/cm3: 10.27
# Magnetization in Bohr magnetons per cell: 0.000
data_Ac4TlIr2
_chemical_formula_sum 'Ac16 Tl4 Ir8'
_cell_length_a 4.371
_cell_length_b 14.777
_cell_length_c 14.984
_cell_angle_alpha 90.00
_cell_angle_beta 90.00
_cell_angle_gamma 90.00
_space_group_name_H-M_alt 'C m c m'
_space_group_IT_number 63
_space_group_name_Hall '-C 2c 2'
loop_
_atom_site_label
_atom_site_type_symbol
_atom_site_fract_x
_atom_site_fract_y
_atom_site_fract_z
_atom_site_occupancy
Ac1 Ac 0.000 0.000 0.000 1
Ac2 Ac 0.000 0.266 0.108 1
Ac3 Ac 0.000 0.432 0.750 1
Tl1 Tl 0.000 0.112 0.750 1
Ir1 Ir 0.000 0.368 0.564 1

---

Entry 3:
# V2GaTcOs PBE-GGA relaxed
# Calculated volume in Å³/f.u.: 95.2
# DFT total energy in eV/atom: -7.27
# ρ in g/cm3: 8.02
# Magnetization in Bohr magnetons per cell: 0.000
data_V2GaTcOs
_chemical_formula_sum 'V2 Ga1 Tc1 Os1'
_cell_length_a 4.488
_cell_length_b 4.488
_cell_length_c 4.727
_cell_angle_alpha 90.00
_cell_angle_beta 90.00
_cell_angle_gamma 90.00
_space_group_name_H-M_alt 'P 4/m m m'
_space_group_IT_number 123
_space_group_name_Hall '-P 4 2'
loop_
_atom_site_label
_atom_site_type_symbol
_atom_site_fract_x
_atom_site_fract_y
_atom_site_fract_z
_atom_site_occupancy
V1 V 0.000 0.500 0.000 1
Ga1 Ga 0.000 0.000 0.500 1
Tc1 Tc 0.500 0.500 0.000 1
Os1 Os 0.500 0.500 0.500 1